Entry from Alexandria: crystalline Ag2SnTe2Se at its relaxed geometry (PBE).

Properties
Symmetry: Cmc2_1
Formation energy (no corrections): -159 meV per atom
M_tot: 0.0 μB/cell

Cell lengths 7.8531, 7.8531, 7.3596 Å; angles 90.00, 90.00, 59.14 degrees
Closest atoms and distances in Å follow each position.
Atoms (fractional coordinates):
Ag 0.0122 0.6714 0.5000  1 Se 2.71, 3 Te 2.79-2.82
Ag 0.3286 0.9878 0.5000  1 Se 2.71, 3 Te 2.79-2.82
Ag 0.6714 0.0122 0.0000  1 Se 2.71, 3 Te 2.79-2.82
Ag 0.9878 0.3286 0.0000  1 Se 2.71, 3 Te 2.79-2.82
Sn 0.3395 0.6605 0.9946  2 Se 2.67-2.73, 2 Te 2.77
Sn 0.6605 0.3395 0.4946  2 Se 2.67-2.73, 2 Te 2.77
Te 0.0043 0.6607 0.8785  1 Sn 2.77, 3 Ag 2.79-2.82
Te 0.3393 0.9957 0.8785  1 Sn 2.77, 3 Ag 2.79-2.82
Te 0.6607 0.0043 0.3785  1 Sn 2.77, 3 Ag 2.79-2.82
Te 0.9957 0.3393 0.3785  1 Sn 2.77, 3 Ag 2.79-2.82
Se 0.3383 0.6617 0.3651  2 Sn 2.67-2.73, 2 Ag 2.71
Se 0.6617 0.3383 0.8651  2 Sn 2.67-2.73, 2 Ag 2.71

***

Entry from Alexandria: crystalline AgSnTeSe at its relaxed geometry (PBE).

Properties
Symmetry: R-3m
Formation energy (no corrections): -175 meV per atom
M_tot: 0.0 μB/cell

Cell lengths 14.3546, 14.3546, 14.3546 Å; angles 17.06, 17.06, 17.06 degrees
Closest atoms and distances in Å follow each position.
Atoms (fractional coordinates):
Ag 0.1853 0.1853 0.1853  4 Se 2.74-2.79, 3 Ag 2.92
Ag 0.8147 0.8147 0.8147  4 Se 2.74-2.79, 3 Ag 2.92
Sn 0.4084 0.4084 0.4084  3 Te 2.97, 3 Se 3.10
Sn 0.5916 0.5916 0.5916  3 Te 2.97, 3 Se 3.10
Te 0.2977 0.2977 0.2977  3 Sn 2.97
Te 0.7023 0.7023 0.7023  3 Sn 2.97
Se 0.1195 0.1195 0.1195  4 Ag 2.74-2.79
Se 0.8805 0.8805 0.8805  4 Ag 2.74-2.79

***

Entry from Alexandria: crystalline Ag2SnTeSe2 at its relaxed geometry (PBE).

Properties
Symmetry: Cmc2_1
Formation energy (no corrections): -194 meV per atom
M_tot: 0.0 μB/cell

Cell lengths 7.5648, 7.5648, 7.3319 Å; angles 90.00, 90.00, 61.04 degrees
Closest atoms and distances in Å follow each position.
Atoms (fractional coordinates):
Ag 0.0162 0.3293 0.0000  3 Se 2.67-2.68, 1 Te 2.83
Ag 0.3293 0.0162 0.5000  3 Se 2.67-2.68, 1 Te 2.83
Ag 0.6707 0.9838 0.0000  3 Se 2.67-2.68, 1 Te 2.83
Ag 0.9838 0.6707 0.5000  3 Se 2.67-2.68, 1 Te 2.83
Sn 0.3155 0.6845 0.9570  2 Se 2.56, 1 Te 2.85
Sn 0.6845 0.3155 0.4570  2 Se 2.56, 1 Te 2.85
Te 0.3274 0.6726 0.3498  2 Ag 2.83, 2 Sn 2.85-2.88
Te 0.6726 0.3274 0.8498  2 Ag 2.83, 2 Sn 2.85-2.88
Se 0.0011 0.3342 0.3637  1 Sn 2.56, 3 Ag 2.67-2.68
Se 0.3342 0.0011 0.8637  1 Sn 2.56, 3 Ag 2.67-2.68
Se 0.6658 0.9989 0.3637  1 Sn 2.56, 3 Ag 2.67-2.68
Se 0.9989 0.6658 0.8637  1 Sn 2.56, 3 Ag 2.67-2.68

***

Entry from Alexandria: crystalline ThAgSnSe at its relaxed geometry (PBE).

Properties
Symmetry: P4/nmm
Formation energy (no corrections): -772 meV per atom
M_tot: 0.0 μB/cell

Cell lengths 4.7148, 4.7148, 8.9246 Å; angles 90.00, 90.00, 90.00 degrees
Closest atoms and distances in Å follow each position.
Atoms (fractional coordinates):
Th 0.2500 0.2500 0.2035  4 Se 2.98
Th 0.7500 0.7500 0.7965  4 Se 2.98
Ag 0.2500 0.7500 0.5000  4 Sn 2.84
Ag 0.7500 0.2500 0.5000  4 Sn 2.84
Sn 0.2500 0.2500 0.6765  4 Ag 2.84
Sn 0.7500 0.7500 0.3235  4 Ag 2.84
Se 0.2500 0.7500 0.0000  4 Th 2.98
Se 0.7500 0.2500 0.0000  4 Th 2.98

***

Entry from Alexandria: crystalline TiAgSn2Se at its relaxed geometry (PBE).

Properties
Symmetry: P4/mmm
Formation energy (no corrections): 470 meV per atom
M_tot: 1.0 μB/cell

Cell lengths 5.5270, 5.5270, 4.7027 Å; angles 90.00, 90.00, 90.00 degrees
Closest atoms and distances in Å follow each position.
Atoms (fractional coordinates):
Ti 0.0000 0.0000 0.0000  2 Se 2.35
Ag 0.5000 0.5000 0.0000  8 Sn 3.63, 4 Ti 3.91
Sn 0.0000 0.5000 0.5000  2 Se 2.76
Sn 0.5000 0.0000 0.5000  2 Se 2.76
Se 0.0000 0.0000 0.5000  2 Ti 2.35

***

Entry from Alexandria: crystalline Tl4AgSn3Se8 at its relaxed geometry (PBE).

Properties
Symmetry: R-3m
Formation energy (no corrections): -337 meV per atom
M_tot: 0.0 μB/cell

Cell lengths 8.8424, 8.8424, 8.8424 Å; angles 55.45, 55.45, 55.45 degrees
Closest atoms and distances in Å follow each position.
Atoms (fractional coordinates):
Tl 0.0000 0.0000 0.0000  6 Se 3.22
Tl 0.0000 0.5000 0.5000  6 Se 3.19-3.21
Tl 0.5000 0.0000 0.5000  6 Se 3.19-3.21
Tl 0.5000 0.5000 0.0000  6 Se 3.19-3.21
Ag 0.5000 0.5000 0.5000  6 Se 2.83
Sn 0.0000 0.0000 0.5000  6 Se 2.84-2.86
Sn 0.0000 0.5000 0.0000  6 Se 2.84-2.86
Sn 0.5000 0.0000 0.0000  6 Se 2.84-2.86
Se 0.2380 0.2380 0.2380  3 Sn 2.86, 3 Tl 3.19
Se 0.2375 0.7358 0.7358  1 Ag 2.83, 2 Sn 2.84
Se 0.2642 0.2642 0.7625  1 Ag 2.83, 2 Sn 2.84
Se 0.2642 0.7625 0.2642  1 Ag 2.83, 2 Sn 2.84
Se 0.7358 0.2375 0.7358  1 Ag 2.83, 2 Sn 2.84
Se 0.7358 0.7358 0.2375  1 Ag 2.83, 2 Sn 2.84
Se 0.7625 0.2642 0.2642  1 Ag 2.83, 2 Sn 2.84
Se 0.7620 0.7620 0.7620  3 Sn 2.86, 3 Tl 3.19

***

Entry from Alexandria: crystalline Tl2Ag2SnSe4 at its relaxed geometry (PBE).

Properties
Symmetry: C2/m
Formation energy (no corrections): -274 meV per atom
M_tot: 0.0 μB/cell

Cell lengths 8.3284, 8.3284, 7.9075 Å; angles 114.73, 114.73, 28.99 degrees
Closest atoms and distances in Å follow each position.
Atoms (fractional coordinates):
Tl 0.1424 0.1424 0.0652  5 Se 3.26-3.38, 3 Ag 3.57
Tl 0.8576 0.8576 0.9348  5 Se 3.26-3.38, 3 Ag 3.57
Ag 0.3150 0.3150 0.5388  4 Se 2.63-2.77, 2 Ag 2.83
Ag 0.6850 0.6850 0.4612  4 Se 2.63-2.77, 2 Ag 2.83
Sn 0.0000 0.0000 0.5000  6 Se 2.80-2.83
Se 0.1921 0.1921 0.6985  3 Ag 2.77, 1 Sn 2.80
Se 0.4946 0.4946 0.7365  1 Ag 2.63, 2 Sn 2.83
Se 0.5054 0.5054 0.2635  1 Ag 2.63, 2 Sn 2.83
Se 0.8079 0.8079 0.3015  3 Ag 2.77, 1 Sn 2.80

***

Entry from Alexandria: crystalline Tl2AgSnSe4 at its relaxed geometry (PBE).

Properties
Symmetry: C2
Formation energy (no corrections): -288 meV per atom
M_tot: 0.0 μB/cell

Cell lengths 6.8233, 6.8233, 7.6805 Å; angles 124.20, 124.20, 74.59 degrees
Closest atoms and distances in Å follow each position.
Atoms (fractional coordinates):
Tl 0.0000 0.0000 0.0000  4 Se 3.06
Tl 0.7486 0.2514 0.5000  8 Se 3.50-3.56
Ag 0.4987 0.5013 0.0000  4 Se 2.65
Sn 0.2486 0.7514 0.5000  4 Se 2.58
Se 0.2370 0.4043 0.1015  1 Sn 2.58, 1 Ag 2.65
Se 0.2995 0.1390 0.5399  1 Sn 2.58, 1 Ag 2.65
Se 0.5957 0.7630 0.8985  1 Sn 2.58, 1 Ag 2.65
Se 0.8610 0.7005 0.4601  1 Sn 2.58, 1 Ag 2.65